Compound: LiMg4Tc
Source: the Alexandria database
Functional: PBE
Structure: relaxed

As for the density of states at the Fermi level: 17.4 states/eV/cell. As for the formation energy from the elements: 0.47 eV per atom. Its total energy is -2.635 eV per atom. For the theoretical density, the calculation gives 2.73 g cm⁻³.

Cell: 7.8957 7.8957 7.8957 Å, 90.00 90.00 90.00°
Space group F-43m (No. 216)
Symmetry-distinct sites (fractional):
1 Li 0.0000 0.0000 0.0000 [4 per cell]
2 Mg 0.1240 0.1240 0.6240 [16 per cell]
3 Tc 0.2500 0.2500 0.2500 [4 per cell]